(1)
Compound: Sr8Pt
Source: Alexandria via LeMat-Bulk
Functional: PBE
Structure: relaxed

abc: 10.249 10.249 10.249
angles: 92.42 92.42 156.30
Atoms (fractional coordinates):
Sr  0.369  0.369  0.737
Sr  0.000  0.334  0.334
Sr  0.666  0.000  0.666
Sr  0.334  0.000  0.334
Sr  0.631  0.369  0.000
Sr  0.369  0.631  0.000
Sr  0.631  0.631  0.263
Sr  0.000  0.666  0.666
Pt  0.000  0.000  0.000

- Crystal system: tetragonal



(2)
Compound: SrPt3
Source: Alexandria via LeMat-Bulk
Functional: PBE
Structure: relaxed

abc: 5.606 5.606 5.081
angles: 72.03 72.03 30.37
Atoms (fractional coordinates):
Pt  0.228  0.228  0.269
Pt  0.772  0.772  0.731
Pt  0.500  0.500  0.500
Sr  0.000  0.000  0.000

- Crystal system: monoclinic



(3)
Compound: Sr3Pt
Source: Alexandria via LeMat-Bulk
Functional: PBE
Structure: relaxed

abc: 13.317 13.317 13.317
angles: 158.49 158.49 30.61
Atoms (fractional coordinates):
Sr  0.250  0.750  0.500
Sr  0.000  0.500  0.500
Sr  0.132  0.132  0.000
Sr  0.750  0.250  0.500
Sr  0.500  0.000  0.500
Sr  0.868  0.868  0.000
Pt  0.324  0.324  0.000
Pt  0.676  0.676  0.000

- Crystal system: tetragonal



(4)
Compound: SrPt3
Source: Alexandria via LeMat-Bulk
Functional: PBE
Structure: relaxed

abc: 5.738 5.738 5.738
angles: 149.92 127.00 62.15
Atoms (fractional coordinates):
Pt  0.247  0.236  0.011
Pt  0.775  0.764  0.011
Pt  0.161  0.500  0.661
Sr  0.650  0.000  0.650

- Crystal system: orthorhombic



Computed formation enthalpy at 0 K (eV per formula unit) in order:
-0.754, -0.853, -0.652, -0.966
Computed magnetic moment (μB/cell) in order:
0.000, 0.000, 0.000, 0.000